# PBE Ce8SiSb2, optimized geometry
data_Ce8SiSb2
_chemical_formula_sum 'Ce8 Si1 Sb2'
_symmetry_space_group_name_H-M 'P 1'
_symmetry_Int_Tables_number 1
_cell_length_a 4.279
_cell_length_b 7.499
_cell_length_c 9.519
_cell_angle_alpha 99.86
_cell_angle_beta 102.99
_cell_angle_gamma 90.00
loop_
_symmetry_equiv_pos_as_xyz
'x,y,z'
loop_
_atom_site_label
_atom_site_fract_x
_atom_site_fract_y
_atom_site_fract_z
Ce1 0.662 0.059 0.323
Ce2 0.338 0.941 0.677
Ce3 0.989 0.748 0.979
Ce4 0.791 0.684 0.583
Ce5 0.209 0.316 0.417
Ce6 0.580 0.456 0.160
Ce7 0.011 0.252 0.021
Ce8 0.420 0.544 0.840
Si1 0.500 0.000 0.000
Sb1 0.167 0.739 0.334
Sb2 0.833 0.261 0.666
# Uncorrected formation energy   -421 meV/atom
# Total magnetization   3.90 μB/f.u.
# Energy   -65.772 eV for the cell shown
# Crystal system   monoclinic


# PBE Sc6HC2Br3, optimized geometry
data_Sc6HC2Br3
_chemical_formula_sum 'Sc6 H1 C2 Br3'
_symmetry_space_group_name_H-M 'P 1'
_symmetry_Int_Tables_number 1
_cell_length_a 6.034
_cell_length_b 6.034
_cell_length_c 6.945
_cell_angle_alpha 98.45
_cell_angle_beta 98.45
_cell_angle_gamma 119.97
loop_
_symmetry_equiv_pos_as_xyz
'x,y,z'
loop_
_atom_site_label
_atom_site_fract_x
_atom_site_fract_y
_atom_site_fract_z
Br1 0.834 0.166 0.500
Br2 0.500 0.500 0.500
Br3 0.166 0.834 0.500
Sc1 0.591 0.942 0.825
Sc2 0.058 0.409 0.175
Sc3 0.942 0.591 0.825
Sc4 0.291 0.291 0.825
Sc5 0.709 0.709 0.175
Sc6 0.409 0.058 0.175
H1 0.000 0.000 0.000
C1 0.334 0.666 0.000
C2 0.666 0.334 0.000
# Total magnetization   0.00 μB/f.u.
# Energy   -74.714 eV for the cell shown
# Crystal system   monoclinic


# PBE Sm3Dy2Cd, optimized geometry
data_Sm3Dy2Cd
_chemical_formula_sum 'Sm3 Dy2 Cd1'
_symmetry_space_group_name_H-M 'P 1'
_symmetry_Int_Tables_number 1
_cell_length_a 3.367
_cell_length_b 11.727
_cell_length_c 7.873
_cell_angle_alpha 138.14
_cell_angle_beta 102.35
_cell_angle_gamma 90.00
loop_
_symmetry_equiv_pos_as_xyz
'x,y,z'
loop_
_atom_site_label
_atom_site_fract_x
_atom_site_fract_y
_atom_site_fract_z
Cd1 0.500 0.257 0.000
Dy1 0.174 0.913 0.347
Dy2 0.826 0.566 0.653
Sm1 0.663 0.655 0.325
Sm2 0.337 0.329 0.675
Sm3 0.000 0.023 0.000
# Offset from the most stable computed form   0.410 eV/atom
# Total magnetization   0.00 μB/f.u.
# Energy   -22.351 eV for the cell shown
# DFT formation energy   0.32 eV/atom
# Crystal system   orthorhombic